(1)
Density functional theory data (GGA-PBE) for HfTi2InC after structural relaxation.

Cell lengths 4.278, 4.278, 4.485 Å; angles 90.00, 90.00, 90.00 degrees
Space group P4/mmm (No. 123)
One atom of each set of equivalent atoms:
1 Hf 0.000 0.000 0.000 x1
2 Ti 0.000 0.500 0.500 x2
3 In 0.500 0.500 0.000 x1
4 C 0.000 0.000 0.500 x1

As for the volume: 16.42 A^3/atom. For the density of states at the Fermi level, the calculation gives 0.74 states/eV per atom. The calculation puts the total moment at 0.00 μB/f.u. Its raw total energy is -8.055 eV/atom.

***

(2)
Density functional theory data (GGA-PBE) for Co2Sn3 after structural relaxation.

Cell lengths 11.482, 5.693, 7.030 Å; angles 90.00, 122.91, 90.00 degrees
Space group C2/c (No. 15)
One atom of each set of equivalent atoms:
1 Co 0.067 0.231 0.486 x8
2 Sn 0.000 0.389 0.750 x4
3 Sn 0.187 0.098 0.274 x8

As for the volume: 19.29 A^3/atom. For the density of states at the Fermi level, the calculation gives 0.63 states/eV per atom. The calculation puts the total moment at 0.00 μB/f.u. Its raw total energy is -5.269 eV/atom.

***

(3)
Density functional theory data (GGA-PBE) for BaN2Cl after structural relaxation.

Cell lengths 4.169, 5.672, 9.409 Å; angles 89.88, 90.00, 78.78 degrees
Space group P-1 (No. 2)
One atom of each set of equivalent atoms:
1 Ba 0.032 0.380 0.250 x2
2 N 0.156 0.095 0.749 x2
3 N 0.403 0.957 0.749 x2
4 Cl 0.500 0.500 0.000 x1
5 Cl 0.500 0.500 0.500 x1

As for the volume: 27.28 A^3/atom. Its uncorrected formation energy is -4.12 eV/f.u. For the density of states at the Fermi level, the calculation gives 0.46 states/eV per atom. The calculation puts the total moment at 0.00 μB/f.u. Its raw total energy is -6.136 eV/atom.

***

(4)
Density functional theory data (GGA-PBE) for NaLi5Sn3 after structural relaxation.

Cell lengths 8.4377, 8.4377, 5.8913 Å; angles 90.00, 90.00, 120.00 degrees
Space group P6_3/mcm (No. 193)
One atom of each set of equivalent atoms:
1 Na 0.0000 0.0000 0.0000 x2
2 Li 0.0000 0.3253 0.2500 x6
3 Li 0.3333 0.6667 0.0000 x4
4 Sn 0.0000 0.3520 0.7500 x6

As for the volume: 20.18 A^3/atom. For the density of states at the Fermi level, the calculation gives 0.35 states/eV per atom. The calculation puts the total moment at 0.00 μB/f.u. Its raw total energy is -2.814 eV/atom.

***

(5)
Density functional theory data (GGA-PBE) for Pm4Dy3Ir4 after structural relaxation.

Cell lengths 3.818, 8.733, 16.484 Å; angles 90.00, 90.00, 90.00 degrees
Space group Immm (No. 71)
One atom of each set of equivalent atoms:
1 Pm 0.000 0.188 0.166 x8
2 Dy 0.000 0.000 0.403 x4
3 Dy 0.000 0.500 0.500 x2
4 Ir 0.000 0.284 0.000 x4
5 Ir 0.000 0.500 0.240 x4

As for the volume: 24.98 A^3/atom. For the density of states at the Fermi level, the calculation gives 0.70 states/eV per atom. The calculation puts the total moment at 0.00 μB/f.u. Its raw total energy is -6.751 eV/atom.

***

(6)
Density functional theory data (GGA-PBE) for Tb5Tm2Pb4 after structural relaxation.

Cell lengths 35.727, 3.419, 5.608 Å; angles 90.00, 95.89, 90.00 degrees
Space group C2/m (No. 12)
One atom of each set of equivalent atoms:
1 Tb 0.000 0.000 0.000 x2
2 Tb 0.138 0.500 0.585 x4
3 Tb 0.196 0.500 0.128 x4
4 Tm 0.088 0.500 0.058 x4
5 Pb 0.046 0.500 0.532 x4
6 Pb 0.217 0.000 0.656 x4

As for the volume: 30.97 A^3/atom. For the density of states at the Fermi level, the calculation gives 1.28 states/eV per atom. The calculation puts the total moment at 1.25 μB/f.u. Its raw total energy is -4.298 eV/atom.

***

(7)
Density functional theory data (GGA-PBE) for Tc3SbO after structural relaxation.

Cell lengths 5.034, 5.034, 5.034 Å; angles 90.00, 90.00, 90.00 degrees
Space group Pm-3m (No. 221)
One atom of each set of equivalent atoms:
1 Tc 0.000 0.000 0.500 x3
2 Sb 0.000 0.000 0.000 x1
3 O 0.500 0.500 0.500 x1

As for the volume: 25.51 A^3/atom. Its uncorrected formation energy is 12.29 eV/f.u. For the density of states at the Fermi level, the calculation gives 1.23 states/eV per atom. The calculation puts the total moment at 9.47 μB/f.u. Its raw total energy is -5.577 eV/atom.

***

(8)
Density functional theory data (GGA-PBE) for YHo6Sc6 after structural relaxation.

Cell lengths 6.3917, 6.3917, 10.8249 Å; angles 90.00, 90.00, 120.00 degrees
Space group P6/mmm (No. 191)
One atom of each set of equivalent atoms:
1 Y 0.0000 0.0000 0.0000 x1
2 Ho 0.0000 0.0000 0.3391 x2
3 Ho 0.3333 0.6667 0.0000 x2
4 Ho 0.3333 0.6667 0.5000 x2
5 Sc 0.0000 0.5000 0.2414 x6

As for the volume: 29.46 A^3/atom. For the density of states at the Fermi level, the calculation gives 2.04 states/eV per atom. The calculation puts the total moment at 1.58 μB/f.u. Its raw total energy is -5.313 eV/atom.